(1)
# PrEr2Ni GGA-PBE optimized geometry
data_PrEr2Ni
_cell_length_a 9.4670
_cell_length_b 9.4670
_cell_length_c 9.4670
_cell_angle_alpha 22.92
_cell_angle_beta 22.92
_cell_angle_gamma 22.92
_space_group_name_H-M_alt 'P 1'
_space_group_IT_number 1
loop_
_space_group_symop_operation_xyz
'x,y,z'
loop_
_atom_site_label
_atom_site_type_symbol
_atom_site_fract_x
_atom_site_fract_y
_atom_site_fract_z
_atom_site_occupancy
Pr1 Pr 0.0000 0.0000 0.0000 1
Er1 Er 0.2235 0.2235 0.2235 1
Er2 Er 0.7765 0.7765 0.7765 1
Ni1 Ni 0.5000 0.5000 0.5000 1
# N(E_F): 1.3285 states/eV per atom
# formation energy from the elements: -112 meV/atom

---

(2)
# Hf2BeReAg GGA-PBE optimized geometry
data_Hf2BeReAg
_cell_length_a 4.6842
_cell_length_b 4.6842
_cell_length_c 4.0217
_cell_angle_alpha 90.00
_cell_angle_beta 90.00
_cell_angle_gamma 90.00
_space_group_name_H-M_alt 'P 1'
_space_group_IT_number 1
loop_
_space_group_symop_operation_xyz
'x,y,z'
loop_
_atom_site_label
_atom_site_type_symbol
_atom_site_fract_x
_atom_site_fract_y
_atom_site_fract_z
_atom_site_occupancy
Hf1 Hf 0.0000 0.5000 0.0000 1
Hf2 Hf 0.5000 0.0000 0.0000 1
Be1 Be 0.0000 0.0000 0.0000 1
Re1 Re 0.5000 0.5000 0.5000 1
Ag1 Ag 0.0000 0.0000 0.5000 1
# N(E_F): 0.5886 states/eV per atom
# formation energy from the elements: 604 meV/atom

---

(3)
# YHfSc2N4 GGA-PBE optimized geometry
data_YHfSc2N4
_cell_length_a 5.6332
_cell_length_b 3.2664
_cell_length_c 5.6801
_cell_angle_alpha 90.00
_cell_angle_beta 109.36
_cell_angle_gamma 90.00
_space_group_name_H-M_alt 'P 1'
_space_group_IT_number 1
loop_
_space_group_symop_operation_xyz
'x,y,z'
loop_
_atom_site_label
_atom_site_type_symbol
_atom_site_fract_x
_atom_site_fract_y
_atom_site_fract_z
_atom_site_occupancy
Y1 Y 0.0000 0.0000 0.0000 1
Hf1 Hf 0.0000 0.5000 0.5000 1
Sc1 Sc 0.5000 0.0000 0.5000 1
Sc2 Sc 0.5000 0.5000 0.0000 1
N1 N 0.2491 0.0000 0.7379 1
N2 N 0.2568 0.5000 0.2658 1
N3 N 0.7432 0.5000 0.7342 1
N4 N 0.7509 0.0000 0.2621 1
# uncorrected formation energy: -1.838 eV/atom
# N(E_F): 0.1514 states/eV per atom

---

(4)
# TmPuTc GGA-PBE optimized geometry
data_TmPuTc
_cell_length_a 4.6504
_cell_length_b 4.6504
_cell_length_c 3.4771
_cell_angle_alpha 90.00
_cell_angle_beta 90.00
_cell_angle_gamma 120.00
_space_group_name_H-M_alt 'P 1'
_space_group_IT_number 1
loop_
_space_group_symop_operation_xyz
'x,y,z'
loop_
_atom_site_label
_atom_site_type_symbol
_atom_site_fract_x
_atom_site_fract_y
_atom_site_fract_z
_atom_site_occupancy
Tm1 Tm 0.0000 0.0000 0.0000 1
Pu1 Pu 0.3333 0.6667 0.5000 1
Tc1 Tc 0.6667 0.3333 0.5000 1
# N(E_F): 2.2639 states/eV per atom
# formation energy from the elements: 44 meV/atom

---

(5)
# BaAl3Ag GGA-PBE optimized geometry
data_BaAl3Ag
_cell_length_a 6.0409
_cell_length_b 6.0409
_cell_length_c 6.0409
_cell_angle_alpha 90.00
_cell_angle_beta 90.00
_cell_angle_gamma 90.00
_space_group_name_H-M_alt 'P 1'
_space_group_IT_number 1
loop_
_space_group_symop_operation_xyz
'x,y,z'
loop_
_atom_site_label
_atom_site_type_symbol
_atom_site_fract_x
_atom_site_fract_y
_atom_site_fract_z
_atom_site_occupancy
Ba1 Ba 0.0000 0.0000 0.0000 1
Al1 Al 0.0000 0.0000 0.5000 1
Al2 Al 0.0000 0.5000 0.0000 1
Al3 Al 0.5000 0.0000 0.0000 1
Ag1 Ag 0.5000 0.5000 0.5000 1
# N(E_F): 1.6231 states/eV per atom
# formation energy from the elements: 1553 meV/atom

---

(6)
# KZnPb2 GGA-PBE optimized geometry
data_KZnPb2
_cell_length_a 4.8772
_cell_length_b 4.8772
_cell_length_c 4.9928
_cell_angle_alpha 90.00
_cell_angle_beta 90.00
_cell_angle_gamma 90.00
_space_group_name_H-M_alt 'P 1'
_space_group_IT_number 1
loop_
_space_group_symop_operation_xyz
'x,y,z'
loop_
_atom_site_label
_atom_site_type_symbol
_atom_site_fract_x
_atom_site_fract_y
_atom_site_fract_z
_atom_site_occupancy
K1 K 0.0000 0.0000 0.0000 1
Zn1 Zn 0.5000 0.5000 0.0000 1
Pb1 Pb 0.0000 0.5000 0.5000 1
Pb2 Pb 0.5000 0.0000 0.5000 1
# N(E_F): 0.5259 states/eV per atom
# formation energy from the elements: 118 meV/atom

---

(7)
# Ac3Zn2Hg GGA-PBE optimized geometry
data_Ac3Zn2Hg
_cell_length_a 3.9522
_cell_length_b 3.9522
_cell_length_c 11.8961
_cell_angle_alpha 90.00
_cell_angle_beta 90.00
_cell_angle_gamma 90.00
_space_group_name_H-M_alt 'P 1'
_space_group_IT_number 1
loop_
_space_group_symop_operation_xyz
'x,y,z'
loop_
_atom_site_label
_atom_site_type_symbol
_atom_site_fract_x
_atom_site_fract_y
_atom_site_fract_z
_atom_site_occupancy
Ac1 Ac 0.0000 0.0000 0.0000 1
Ac2 Ac 0.0000 0.0000 0.3225 1
Ac3 Ac 0.0000 0.0000 0.6775 1
Zn1 Zn 0.5000 0.5000 0.1606 1
Zn2 Zn 0.5000 0.5000 0.8394 1
Hg1 Hg 0.5000 0.5000 0.5000 1
# N(E_F): 1.2766 states/eV per atom
# formation energy from the elements: -320 meV/atom

---

(8)
# Li2MgPd4 GGA-PBE optimized geometry
data_Li2MgPd4
_cell_length_a 5.2560
_cell_length_b 5.2560
_cell_length_c 5.1415
_cell_angle_alpha 118.95
_cell_angle_beta 118.95
_cell_angle_gamma 74.50
_space_group_name_H-M_alt 'P 1'
_space_group_IT_number 1
loop_
_space_group_symop_operation_xyz
'x,y,z'
loop_
_atom_site_label
_atom_site_type_symbol
_atom_site_fract_x
_atom_site_fract_y
_atom_site_fract_z
_atom_site_occupancy
Li1 Li 0.0004 0.0004 0.2451 1
Li2 Li 0.9996 0.9996 0.7549 1
Mg1 Mg 0.5000 0.5000 0.0000 1
Pd1 Pd 0.0869 0.5072 0.2963 1
Pd2 Pd 0.4928 0.9131 0.7037 1
Pd3 Pd 0.5072 0.0869 0.2963 1
Pd4 Pd 0.9131 0.4928 0.7037 1
# N(E_F): 0.5076 states/eV per atom
# formation energy from the elements: -352 meV/atom

---

(9)
# NaCa2Bi4 GGA-PBE optimized geometry
data_NaCa2Bi4
_cell_length_a 6.9033
_cell_length_b 6.8224
_cell_length_c 6.8036
_cell_angle_alpha 60.88
_cell_angle_beta 59.70
_cell_angle_gamma 59.43
_space_group_name_H-M_alt 'P 1'
_space_group_IT_number 1
loop_
_space_group_symop_operation_xyz
'x,y,z'
loop_
_atom_site_label
_atom_site_type_symbol
_atom_site_fract_x
_atom_site_fract_y
_atom_site_fract_z
_atom_site_occupancy
Na1 Na 0.0000 0.0000 0.0000 1
Ca1 Ca 0.0000 0.5000 0.5000 1
Ca2 Ca 0.5000 0.0000 0.0000 1
Bi1 Bi 0.0000 0.0000 0.5000 1
Bi2 Bi 0.0000 0.5000 0.0000 1
Bi3 Bi 0.5000 0.0000 0.5000 1
Bi4 Bi 0.5000 0.5000 0.0000 1
# N(E_F): 0.5208 states/eV per atom
# formation energy from the elements: -495 meV/atom

---

(10)
# AlTlOs2 GGA-PBE optimized geometry
data_AlTlOs2
_cell_length_a 2.8206
_cell_length_b 3.5702
_cell_length_c 7.5010
_cell_angle_alpha 90.00
_cell_angle_beta 90.00
_cell_angle_gamma 90.00
_space_group_name_H-M_alt 'P 1'
_space_group_IT_number 1
loop_
_space_group_symop_operation_xyz
'x,y,z'
loop_
_atom_site_label
_atom_site_type_symbol
_atom_site_fract_x
_atom_site_fract_y
_atom_site_fract_z
_atom_site_occupancy
Al1 Al 0.0000 0.0000 0.0000 1
Tl1 Tl 0.5000 0.5000 0.6543 1
Os1 Os 0.0000 0.0000 0.3588 1
Os2 Os 0.5000 0.5000 0.1968 1
# N(E_F): 0.5942 states/eV per atom
# formation energy from the elements: 422 meV/atom

---

(11)
# SrPH3 GGA-PBE optimized geometry
data_SrPH3
_cell_length_a 3.8557
_cell_length_b 3.8557
_cell_length_c 3.8557
_cell_angle_alpha 90.00
_cell_angle_beta 90.00
_cell_angle_gamma 90.00
_space_group_name_H-M_alt 'P 1'
_space_group_IT_number 1
loop_
_space_group_symop_operation_xyz
'x,y,z'
loop_
_atom_site_label
_atom_site_type_symbol
_atom_site_fract_x
_atom_site_fract_y
_atom_site_fract_z
_atom_site_occupancy
Sr1 Sr 0.0000 0.0000 0.0000 1
P1 P 0.5000 0.5000 0.5000 1
H1 H 0.0000 0.5000 0.5000 1
H2 H 0.5000 0.0000 0.5000 1
H3 H 0.5000 0.5000 0.0000 1
# N(E_F): 0.2527 states/eV per atom
# electronic total energy: -3.3581 eV per atom

---

(12)
# Ag2HPb GGA-PBE optimized geometry
data_Ag2HPb
_cell_length_a 5.8847
_cell_length_b 5.8847
_cell_length_c 5.8847
_cell_angle_alpha 117.69
_cell_angle_beta 117.69
_cell_angle_gamma 94.05
_space_group_name_H-M_alt 'P 1'
_space_group_IT_number 1
loop_
_space_group_symop_operation_xyz
'x,y,z'
loop_
_atom_site_label
_atom_site_type_symbol
_atom_site_fract_x
_atom_site_fract_y
_atom_site_fract_z
_atom_site_occupancy
Ag1 Ag 0.3750 0.1962 0.3212 1
Ag2 Ag 0.8038 0.1250 0.1788 1
Ag3 Ag 0.8750 0.0538 0.6788 1
Ag4 Ag 0.9462 0.6250 0.8212 1
H1 H 0.0000 0.0000 0.0000 1
H2 H 0.7500 0.2500 0.5000 1
Pb1 Pb 0.2500 0.7500 0.5000 1
Pb2 Pb 0.5000 0.5000 0.0000 1
# N(E_F): 0.1933 states/eV per atom
# electronic total energy: -2.9799 eV per atom

---

(13)
# La4SbTePb2 GGA-PBE optimized geometry
data_La4SbTePb2
_cell_length_a 7.9534
_cell_length_b 4.5670
_cell_length_c 8.2573
_cell_angle_alpha 90.00
_cell_angle_beta 108.58
_cell_angle_gamma 90.00
_space_group_name_H-M_alt 'P 1'
_space_group_IT_number 1
loop_
_space_group_symop_operation_xyz
'x,y,z'
loop_
_atom_site_label
_atom_site_type_symbol
_atom_site_fract_x
_atom_site_fract_y
_atom_site_fract_z
_atom_site_occupancy
La1 La 0.2445 0.0000 0.2440 1
La2 La 0.2471 0.5000 0.7518 1
La3 La 0.7529 0.5000 0.2482 1
La4 La 0.7555 0.0000 0.7560 1
Sb1 Sb 0.0000 0.5000 0.0000 1
Te1 Te 0.5000 0.0000 0.0000 1
Pb1 Pb 0.0000 0.0000 0.5000 1
Pb2 Pb 0.5000 0.5000 0.5000 1
# uncorrected formation energy: -0.993 eV/atom
# N(E_F): 0.7165 states/eV per atom

---

(14)
# KSbSe GGA-PBE optimized geometry
data_KSbSe
_cell_length_a 5.6618
_cell_length_b 5.6618
_cell_length_c 3.0966
_cell_angle_alpha 90.00
_cell_angle_beta 90.00
_cell_angle_gamma 120.00
_space_group_name_H-M_alt 'P 1'
_space_group_IT_number 1
loop_
_space_group_symop_operation_xyz
'x,y,z'
loop_
_atom_site_label
_atom_site_type_symbol
_atom_site_fract_x
_atom_site_fract_y
_atom_site_fract_z
_atom_site_occupancy
K1 K 0.0000 0.0000 0.0000 1
Sb1 Sb 0.3333 0.6667 0.5018 1
Se1 Se 0.6667 0.3333 0.5013 1
# uncorrected formation energy: -0.187 eV/atom
# N(E_F): 0.6693 states/eV per atom

---

(15)
# NbIn2AsI GGA-PBE optimized geometry
data_NbIn2AsI
_cell_length_a 5.9452
_cell_length_b 5.9452
_cell_length_c 4.8981
_cell_angle_alpha 90.00
_cell_angle_beta 90.00
_cell_angle_gamma 90.00
_space_group_name_H-M_alt 'P 1'
_space_group_IT_number 1
loop_
_space_group_symop_operation_xyz
'x,y,z'
loop_
_atom_site_label
_atom_site_type_symbol
_atom_site_fract_x
_atom_site_fract_y
_atom_site_fract_z
_atom_site_occupancy
Nb1 Nb 0.0000 0.0000 0.0000 1
In1 In 0.0000 0.5000 0.0000 1
In2 In 0.5000 0.0000 0.0000 1
As1 As 0.0000 0.0000 0.5000 1
I1 I 0.5000 0.5000 0.5000 1
# uncorrected formation energy: 0.216 eV/atom
# N(E_F): 0.7677 states/eV per atom

---

(16)
# AlAgC GGA-PBE optimized geometry
data_AlAgC
_cell_length_a 2.9117
_cell_length_b 4.2542
_cell_length_c 7.4352
_cell_angle_alpha 106.17
_cell_angle_beta 100.78
_cell_angle_gamma 90.02
_space_group_name_H-M_alt 'P 1'
_space_group_IT_number 1
loop_
_space_group_symop_operation_xyz
'x,y,z'
loop_
_atom_site_label
_atom_site_type_symbol
_atom_site_fract_x
_atom_site_fract_y
_atom_site_fract_z
_atom_site_occupancy
Al1 Al 0.0000 0.0000 0.0000 1
Al2 Al 0.1375 0.6380 0.2834 1
Ag1 Ag 0.3352 0.8264 0.6634 1
Ag2 Ag 0.7397 0.2296 0.4672 1
C1 C 0.5349 0.3743 0.0714 1
C2 C 0.5346 0.6945 0.0708 1
# N(E_F): 0.2653 states/eV per atom
# formation energy from the elements: 353 meV/atom

---

(17)
# Pr2Ni3Ge4Ru GGA-PBE optimized geometry
data_Pr2Ni3Ge4Ru
_cell_length_a 4.1678
_cell_length_b 4.1678
_cell_length_c 9.9951
_cell_angle_alpha 90.00
_cell_angle_beta 90.00
_cell_angle_gamma 90.00
_space_group_name_H-M_alt 'P 1'
_space_group_IT_number 1
loop_
_space_group_symop_operation_xyz
'x,y,z'
loop_
_atom_site_label
_atom_site_type_symbol
_atom_site_fract_x
_atom_site_fract_y
_atom_site_fract_z
_atom_site_occupancy
Pr1 Pr 0.0000 0.5000 0.2417 1
Pr2 Pr 0.5000 0.0000 0.7583 1
Ni1 Ni 0.0000 0.5000 0.8761 1
Ni2 Ni 0.5000 0.0000 0.1239 1
Ni3 Ni 0.5000 0.5000 0.5000 1
Ge1 Ge 0.0000 0.0000 0.0000 1
Ge2 Ge 0.0000 0.5000 0.6331 1
Ge3 Ge 0.5000 0.0000 0.3669 1
Ge4 Ge 0.5000 0.5000 0.0000 1
Ru1 Ru 0.0000 0.0000 0.5000 1
# N(E_F): 0.4122 states/eV per atom
# formation energy from the elements: -674 meV/atom

---

(18)
# SbTe2Cl GGA-PBE optimized geometry
data_SbTe2Cl
_cell_length_a 11.1916
_cell_length_b 11.1916
_cell_length_c 11.1916
_cell_angle_alpha 17.28
_cell_angle_beta 17.28
_cell_angle_gamma 17.28
_space_group_name_H-M_alt 'P 1'
_space_group_IT_number 1
loop_
_space_group_symop_operation_xyz
'x,y,z'
loop_
_atom_site_label
_atom_site_type_symbol
_atom_site_fract_x
_atom_site_fract_y
_atom_site_fract_z
_atom_site_occupancy
Sb1 Sb 0.0000 0.0000 0.0000 1
Te1 Te 0.0916 0.0916 0.0916 1
Te2 Te 0.9084 0.9084 0.9084 1
Cl1 Cl 0.5000 0.5000 0.5000 1
# uncorrected formation energy: 0.132 eV/atom
# N(E_F): 0.7255 states/eV per atom

---

(19)
# PmErSbTe GGA-PBE optimized geometry
data_PmErSbTe
_cell_length_a 7.6681
_cell_length_b 7.6681
_cell_length_c 7.6681
_cell_angle_alpha 33.39
_cell_angle_beta 33.39
_cell_angle_gamma 33.39
_space_group_name_H-M_alt 'P 1'
_space_group_IT_number 1
loop_
_space_group_symop_operation_xyz
'x,y,z'
loop_
_atom_site_label
_atom_site_type_symbol
_atom_site_fract_x
_atom_site_fract_y
_atom_site_fract_z
_atom_site_occupancy
Pm1 Pm 0.0000 0.0000 0.0000 1
Er1 Er 0.4926 0.4926 0.4926 1
Sb1 Sb 0.7499 0.7499 0.7499 1
Te1 Te 0.2427 0.2427 0.2427 1
# uncorrected formation energy: -1.272 eV/atom
# N(E_F): 0.4450 states/eV per atom

---

(20)
# Sc3SiGe GGA-PBE optimized geometry
data_Sc3SiGe
_cell_length_a 4.9260
_cell_length_b 4.9260
_cell_length_c 4.9260
_cell_angle_alpha 90.00
_cell_angle_beta 90.00
_cell_angle_gamma 90.00
_space_group_name_H-M_alt 'P 1'
_space_group_IT_number 1
loop_
_space_group_symop_operation_xyz
'x,y,z'
loop_
_atom_site_label
_atom_site_type_symbol
_atom_site_fract_x
_atom_site_fract_y
_atom_site_fract_z
_atom_site_occupancy
Sc1 Sc 0.0000 0.0000 0.5000 1
Sc2 Sc 0.0000 0.5000 0.0000 1
Sc3 Sc 0.5000 0.0000 0.0000 1
Si1 Si 0.0000 0.0000 0.0000 1
Ge1 Ge 0.5000 0.5000 0.5000 1
# uncorrected formation energy: -0.213 eV/atom
# N(E_F): 0.5336 states/eV per atom